Entry from Alexandria via LeMat-Bulk: crystalline SrIn2B2O6 at its relaxed geometry (PBE).

Unit cell a=5.102 b=5.102 c=7.882 alpha=90.00 beta=90.00 gamma=120.00
Element x y z (fractional)
O 0.944 0.346 0.209
O 0.654 0.598 0.209
O 0.056 0.654 0.791
O 0.598 0.944 0.791
O 0.346 0.402 0.791
O 0.402 0.056 0.209
Sr 0.000 0.000 0.000
B 0.667 0.333 0.213
B 0.333 0.667 0.787
In 0.333 0.667 0.345
In 0.667 0.333 0.655

Computed properties:
* DFT total energy: -72.988 eV per cell
* ΔE_f (raw): -2.066 eV per atom

---

Entry from Alexandria via LeMat-Bulk: crystalline LaSm2Au2 at its relaxed geometry (PBE).

Unit cell a=3.905 b=8.412 c=8.412 alpha=90.00 beta=90.00 gamma=90.00
Element x y z (fractional)
La 0.500 0.500 0.000
La 0.500 0.000 0.500
Au 0.500 0.372 0.372
Au 0.500 0.628 0.628
Au 0.500 0.872 0.128
Au 0.500 0.128 0.872
Sm 0.000 0.663 0.337
Sm 0.000 0.337 0.663
Sm 0.000 0.837 0.837
Sm 0.000 0.163 0.163

Computed properties:
* DFT total energy: -48.256 eV per cell
* energy relative to the lowest polymorph listed for this composition: 0.00 eV per formula unit
* energy of formation: -0.642 eV/atom

---

What is the DFT total energy in the first record?
-72.988 eV per cell